# ErHfN2 (PBE, optimized geometry)
data_ErHfN2
_cell_length_a 3.2439
_cell_length_b 3.2439
_cell_length_c 17.1490
_cell_angle_alpha 90.00
_cell_angle_beta 90.00
_cell_angle_gamma 120.00
_space_group_name_H-M_alt 'R 3 m'
_space_group_IT_number 160
_space_group_name_Hall 'R 3 -2"'
loop_
_atom_site_label
_atom_site_type_symbol
_atom_site_fract_x
_atom_site_fract_y
_atom_site_fract_z
Er1 Er 0.0000 0.0000 0.0000
Hf1 Hf 0.0000 0.0000 0.1747
N1 N 0.0000 0.0000 0.4275
N2 N 0.0000 0.0000 0.5862
# formation energy without anion corrections = -1.55 eV per atom
# total DFT energy (no corrections) = -9.339 eV per atom

***

# ErHfN (PBE, optimized geometry)
data_ErHfN
_cell_length_a 3.1489
_cell_length_b 3.1489
_cell_length_c 5.2203
_cell_angle_alpha 90.00
_cell_angle_beta 90.00
_cell_angle_gamma 90.00
_space_group_name_H-M_alt 'P 4/m m m'
_space_group_IT_number 123
_space_group_name_Hall '-P 4 2'
loop_
_atom_site_label
_atom_site_type_symbol
_atom_site_fract_x
_atom_site_fract_y
_atom_site_fract_z
Er1 Er 0.0000 0.0000 0.0000
Hf1 Hf 0.5000 0.5000 0.5000
N1 N 0.0000 0.0000 0.5000
# formation energy without anion corrections = -1.05 eV per atom
# distance to the lowest polymorph of the same formula = 0.067 eV per atom
# total DFT energy (no corrections) = -8.669 eV per atom

***

# ErHf2N4 (PBE, optimized geometry)
data_ErHf2N4
_cell_length_a 3.2053
_cell_length_b 10.6636
_cell_length_c 10.3501
_cell_angle_alpha 90.00
_cell_angle_beta 90.00
_cell_angle_gamma 90.00
_space_group_name_H-M_alt 'C m c m'
_space_group_IT_number 63
_space_group_name_Hall '-C 2c 2'
loop_
_atom_site_label
_atom_site_type_symbol
_atom_site_fract_x
_atom_site_fract_y
_atom_site_fract_z
Er1 Er 0.0000 0.1095 0.2500
Hf1 Hf 0.0000 0.3682 0.0701
N1 N 0.0000 0.0000 0.0000
N2 N 0.0000 0.2652 0.6164
N3 N 0.0000 0.4573 0.2500
# formation energy without anion corrections = -1.49 eV per atom
# total DFT energy (no corrections) = -9.747 eV per atom

***

# ErHfN (PBE, optimized geometry)
data_ErHfN
_cell_length_a 3.3230
_cell_length_b 3.3230
_cell_length_c 5.5406
_cell_angle_alpha 90.00
_cell_angle_beta 90.00
_cell_angle_gamma 120.00
_space_group_name_H-M_alt 'P 3 m 1'
_space_group_IT_number 156
loop_
_space_group_symop_operation_xyz
'x,y,z'
'-y,x-y,z'
'-x+y,-x,z'
'-y,-x,z'
'-x+y,y,z'
'x,x-y,z'
loop_
_atom_site_label
_atom_site_type_symbol
_atom_site_fract_x
_atom_site_fract_y
_atom_site_fract_z
Er1 Er 0.0000 0.0000 0.0000
Hf1 Hf 0.6667 0.3333 0.5325
N1 N 0.3333 0.6667 0.7424
# formation energy without anion corrections = -1.10 eV per atom
# distance to the lowest polymorph of the same formula = 0.023 eV per atom
# total DFT energy (no corrections) = -8.713 eV per atom

***

# ErHfN (PBE, optimized geometry)
data_ErHfN
_cell_length_a 3.4800
_cell_length_b 3.4800
_cell_length_c 4.3343
_cell_angle_alpha 90.00
_cell_angle_beta 90.00
_cell_angle_gamma 90.00
_space_group_name_H-M_alt 'P 4/m m m'
_space_group_IT_number 123
_space_group_name_Hall '-P 4 2'
loop_
_atom_site_label
_atom_site_type_symbol
_atom_site_fract_x
_atom_site_fract_y
_atom_site_fract_z
Er1 Er 0.0000 0.0000 0.0000
Hf1 Hf 0.5000 0.5000 0.5000
N1 N 0.5000 0.5000 0.0000
# formation energy without anion corrections = -1.12 eV per atom
# distance to the lowest polymorph of the same formula = 0.000 eV per atom
# total DFT energy (no corrections) = -8.736 eV per atom

***

# ErHf3N4 (PBE, optimized geometry)
data_ErHf3N4
_cell_length_a 3.2453
_cell_length_b 3.2453
_cell_length_c 21.4050
_cell_angle_alpha 90.00
_cell_angle_beta 90.00
_cell_angle_gamma 120.00
_space_group_name_H-M_alt 'P 63/m m c'
_space_group_IT_number 194
_space_group_name_Hall '-P 6c 2c'
loop_
_atom_site_label
_atom_site_type_symbol
_atom_site_fract_x
_atom_site_fract_y
_atom_site_fract_z
Er1 Er 0.3333 0.6667 0.2500
Hf1 Hf 0.0000 0.0000 0.0000
Hf2 Hf 0.3333 0.6667 0.6221
N1 N 0.0000 0.0000 0.1789
N2 N 0.3333 0.6667 0.0605
# formation energy without anion corrections = -1.77 eV per atom
# total DFT energy (no corrections) = -10.237 eV per atom